A geometry-optimized Zn6AgPd3 structure, computed with PBE.

D(E_F) in states/eV/atom: 0.2821
Total magnetization in μB/atom: 0.00
Formation energy in eV per atom: -0.34
Volume in Å³/cell: 297

```
Zn6AgPd3
1.0
4.4825 0.0000 0.0000
0.0000 6.9197 -2.6658
0.0000 -0.2623 9.6806
Zn Ag Pd
12 2 6
direct
0.2500 0.4647 0.0763
0.7500 0.5353 0.9237
0.2500 0.1638 0.1750
0.7500 0.8362 0.8250
0.2500 0.6556 0.6783
0.7500 0.3444 0.3217
0.2500 0.2737 0.4858
0.7500 0.7263 0.5142
0.2500 0.8485 0.2705
0.7500 0.1515 0.7295
0.2500 0.0638 0.8761
0.7500 0.9362 0.1239
0.2500 0.9557 0.5744
0.7500 0.0443 0.4256
0.2500 0.5460 0.3726
0.7500 0.4540 0.6274
0.2500 0.3586 0.7845
0.7500 0.6414 0.2155
0.2500 0.7744 0.9769
0.7500 0.2256 0.0231
```